DFT (SCAN) results for Re2AsW at its PBEsol-relaxed geometry.

Unit cell a=2.9758 b=4.4418 c=4.5045 alpha=90.00 beta=90.00 gamma=90.00
Last column: nearest neighbours and their distance in Å.
Space group Pmmm (No. 47)
One atom of each set of equivalent atoms:
Re: 0.0000 0.0000 0.0000 [1 per cell]  4 W 2.67, 6 Re 2.70-2.98
Re: 0.5000 0.0000 0.5000 [1 per cell]  4 As 2.67, 6 Re 2.70-2.98
As: 0.0000 0.5000 0.5000 [1 per cell]  4 Re 2.67, 4 W 2.70, 2 As 2.98
W: 0.5000 0.5000 0.0000 [1 per cell]  4 Re 2.67, 4 As 2.70, 2 W 2.98

Calculated values
**Raw total energy**: -4.23453 Ry/atom
**Size of the total moment**: 0.000 μB/atom
**Density of states at the Fermi level**: 0.72 states/eV/atom